<a>
Sc2PdW | PBE-GGA | relaxed

Lattice parameters (Å, degrees): 6.625 6.625 6.625 90.00 90.00 90.00
Atoms (fractional coordinates):
Sc (0.250, 0.250, 0.250)
Sc (0.250, 0.250, 0.750)
Sc (0.250, 0.750, 0.250)
Sc (0.250, 0.750, 0.750)
Sc (0.750, 0.250, 0.250)
Sc (0.750, 0.250, 0.750)
Sc (0.750, 0.750, 0.250)
Sc (0.750, 0.750, 0.750)
Pd (0.000, 0.000, 0.000)
Pd (0.000, 0.500, 0.500)
Pd (0.500, 0.000, 0.500)
Pd (0.500, 0.500, 0.000)
W (0.000, 0.000, 0.500)
W (0.000, 0.500, 0.000)
W (0.500, 0.000, 0.000)
W (0.500, 0.500, 0.500)

Results
- DOS at the Fermi energy: 5.8 states/eV/f.u.
- M_tot: 0.4 μB/f.u.



<b>
Sc2PdW | PBE-GGA | relaxed

Lattice parameters (Å, degrees): 7.299 7.299 5.807 90.00 90.00 90.00
Atoms (fractional coordinates):
Sc (0.228, 0.250, 0.125)
Sc (0.250, 0.728, 0.375)
Sc (0.250, 0.772, 0.875)
Sc (0.272, 0.250, 0.625)
Sc (0.728, 0.750, 0.625)
Sc (0.750, 0.228, 0.875)
Sc (0.750, 0.272, 0.375)
Sc (0.772, 0.750, 0.125)
Pd (0.000, 0.000, 0.000)
Pd (0.000, 0.500, 0.250)
Pd (0.500, 0.000, 0.750)
Pd (0.500, 0.500, 0.500)
W (0.000, 0.000, 0.500)
W (0.000, 0.500, 0.750)
W (0.500, 0.000, 0.250)
W (0.500, 0.500, 0.000)

Results
- DOS at the Fermi energy: 3.4 states/eV/f.u.
- M_tot: 0.0 μB/f.u.



Relative stability in meV/atom, measured from the most stable structure: <a> 0; <b> 351



<a>
Y2ScPd2 | PBE-GGA | relaxed

Lattice parameters (Å, degrees): 3.998 3.998 15.602 90.00 90.00 90.00
Atoms (fractional coordinates):
Y (0.000, 0.000, 0.119)
Y (0.000, 0.000, 0.881)
Y (0.500, 0.500, 0.381)
Y (0.500, 0.500, 0.619)
Sc (0.000, 0.000, 0.500)
Sc (0.500, 0.500, 0.000)
Pd (0.000, 0.500, 0.250)
Pd (0.000, 0.500, 0.750)
Pd (0.500, 0.000, 0.250)
Pd (0.500, 0.000, 0.750)

Results
- DOS at the Fermi energy: 5.4 states/eV/f.u.
- M_tot: 0.0 μB/f.u.



<b>
Y2ScPd2 | PBE-GGA | relaxed

Lattice parameters (Å, degrees): 4.697 4.697 11.434 90.00 90.00 90.00
Atoms (fractional coordinates):
Y (0.000, 0.500, 0.250)
Y (0.000, 0.500, 0.750)
Y (0.500, 0.000, 0.250)
Y (0.500, 0.000, 0.750)
Sc (0.000, 0.000, 0.000)
Sc (0.500, 0.500, 0.500)
Pd (0.000, 0.000, 0.389)
Pd (0.000, 0.000, 0.611)
Pd (0.500, 0.500, 0.111)
Pd (0.500, 0.500, 0.889)

Results
- DOS at the Fermi energy: 9.9 states/eV/f.u.
- M_tot: 0.0 μB/f.u.



<c>
Y2ScPd2 | PBE-GGA | relaxed

Lattice parameters (Å, degrees): 7.537 7.537 4.053 90.00 90.00 90.00
Atoms (fractional coordinates):
Y (0.169, 0.331, 0.000)
Y (0.331, 0.831, 0.000)
Y (0.669, 0.169, 0.000)
Y (0.831, 0.669, 0.000)
Sc (0.000, 0.000, 0.500)
Sc (0.500, 0.500, 0.500)
Pd (0.134, 0.634, 0.500)
Pd (0.366, 0.134, 0.500)
Pd (0.634, 0.866, 0.500)
Pd (0.866, 0.366, 0.500)

Results
- DOS at the Fermi energy: 4.5 states/eV/f.u.
- M_tot: 0.0 μB/f.u.



<d>
Y2ScPd2 | PBE-GGA | relaxed

Lattice parameters (Å, degrees): 8.285 8.285 3.301 90.00 90.00 90.00
Atoms (fractional coordinates):
Y (0.144, 0.356, 0.000)
Y (0.356, 0.856, 0.000)
Y (0.644, 0.144, 0.000)
Y (0.856, 0.644, 0.000)
Sc (0.000, 0.000, 0.000)
Sc (0.500, 0.500, 0.000)
Pd (0.157, 0.657, 0.500)
Pd (0.343, 0.157, 0.500)
Pd (0.657, 0.843, 0.500)
Pd (0.843, 0.343, 0.500)

Results
- DOS at the Fermi energy: 5.4 states/eV/f.u.
- M_tot: 0.0 μB/f.u.



Relative stability in meV/atom, measured from the most stable structure: <a> 453; <b> 368; <c> 0; <d> 261